La2PrMoO8: optimized geometry, PBE with a Hubbard U.

Cell and atoms, written as extended XYZ:
```
12
Lattice="-1.351 3.236 -2.638 3.232 -2.357 -3.820 -5.580 -4.110 -2.185" Properties=species:S:1:pos:R:3 pbc="T T T"
La -0.440 -0.578 -3.770
La -3.258 -2.653 -4.873
O -4.975 -0.790 -5.102
O -3.701 -4.142 -6.922
O -1.645 1.663 -3.798
O 1.277 -2.441 -3.541
O 0.003 0.911 -1.721
O -1.087 -2.099 -5.357
O -2.611 -1.132 -3.286
O -2.053 -4.894 -4.845
Pr -2.790 -2.055 -1.093
Mo 0.000 0.000 0.000
```

Results
SG ... P2/m
Theoretical density ... 6.1 g cm⁻³
Total energy ... -7.67 eV/atom